(1)
The following is a DFT calculation (PBE) of a relaxed CeInBiAu crystal.

E above lowest polymorph = 0.00 eV/f.u.
Density = 10487 kg/m³
Formation enthalpy at 0 K = -0.39 eV per atom
Raw total energy = -17.4 eV/f.u.

a = 4.7690 Å, b = 4.7694 Å, c = 5.7044 Å
α = 114.71°, β = 114.71°, γ = 90.00°
Sites, in units of the cell vectors:
Au1 0.5000 0.5000 0.0000
Bi1 0.0000 0.0000 0.0000
In1 0.2500 0.7500 0.5000
Ce1 0.7500 0.2500 0.5000

(2)
The following is a DFT calculation (PBE) of a relaxed LaCeBiAu crystal.

Density = 9691 kg/m³
Formation enthalpy at 0 K = -0.66 eV per atom
Raw total energy = -20.7 eV/f.u.

a = 5.4956 Å, b = 5.4956 Å, c = 5.4956 Å
α = 60.00°, β = 60.00°, γ = 60.00°
Sites, in units of the cell vectors:
Bi1 0.5000 0.5000 0.5000
Au1 0.0000 0.0000 0.0000
Ce1 0.2500 0.2500 0.2500
La1 0.7500 0.7500 0.7500

(3)
The following is a DFT calculation (PBE) of a relaxed CeMgBiAu crystal.

Density = 9314 kg/m³
Formation enthalpy at 0 K = -0.49 eV per atom
Raw total energy = -16.6 eV/f.u.

a = 5.2391 Å, b = 5.2391 Å, c = 5.2391 Å
α = 60.00°, β = 60.00°, γ = 60.00°
Sites, in units of the cell vectors:
Ce1 0.7500 0.7500 0.7500
Mg1 0.2500 0.2500 0.2500
Au1 0.0000 0.0000 0.0000
Bi1 0.5000 0.5000 0.5000

(4)
The following is a DFT calculation (PBE) of a relaxed CeNdBiAu crystal.

Density = 10037 kg/m³
Formation enthalpy at 0 K = -0.63 eV per atom
Raw total energy = -20.4 eV/f.u.

a = 5.4459 Å, b = 5.4459 Å, c = 5.4459 Å
α = 60.00°, β = 60.00°, γ = 60.00°
Sites, in units of the cell vectors:
Ce1 0.7500 0.7500 0.7500
Nd1 0.2500 0.2500 0.2500
Au1 0.5000 0.5000 0.5000
Bi1 0.0000 0.0000 0.0000

no.,calculated volume (Å³/cell)
1,104.65
2,117.36
3,101.68
4,114.21